# 1
A plane-wave DFT calculation with PBE was carried out for an optimized crystal structure of Hg2Te2O7.

a = 7.475 Å, b = 7.475 Å, c = 13.326 Å
α = 109.03°, β = 109.03°, γ = 59.60°
Fractional positions:
Hg1 0.500 0.000 0.000
Hg2 0.000 0.500 0.000
Hg3 0.767 0.233 0.250
Hg4 0.301 0.699 0.250
Hg5 0.500 0.000 0.500
Hg6 0.000 0.500 0.500
Hg7 0.699 0.301 0.750
Hg8 0.233 0.767 0.750
O1 0.170 0.131 0.007
O2 0.788 0.287 0.050
O3 0.402 0.442 0.098
O4 0.564 0.714 0.112
O5 0.111 0.996 0.154
O6 0.004 0.609 0.173
O7 0.619 0.039 0.201
O8 0.961 0.381 0.299
O9 0.391 0.996 0.327
O10 0.004 0.889 0.346
O11 0.286 0.436 0.388
O12 0.558 0.598 0.402
O13 0.713 0.212 0.450
O14 0.869 0.830 0.493
O15 0.131 0.170 0.507
O16 0.287 0.788 0.550
O17 0.442 0.402 0.598
O18 0.714 0.564 0.612
O19 0.996 0.111 0.654
O20 0.609 0.004 0.673
O21 0.039 0.619 0.701
O22 0.381 0.961 0.799
O23 0.996 0.391 0.827
O24 0.889 0.004 0.846
O25 0.436 0.286 0.888
O26 0.598 0.558 0.902
O27 0.212 0.713 0.950
O28 0.830 0.869 0.993
Te1 0.000 0.000 0.000
Te2 0.500 0.500 0.000
Te3 0.776 0.769 0.250
Te4 0.231 0.224 0.250
Te5 0.000 0.000 0.500
Te6 0.500 0.500 0.500
Te7 0.769 0.776 0.750
Te8 0.224 0.231 0.750

Output
As for the space group: No. 15. The calculation puts the calculated volume at 13.53 Å³ per atom. The calculation puts the polymorph energy (0 for the lowest one) at 0.006 eV per atom.

# 2
A plane-wave DFT calculation with PBE was carried out for an optimized crystal structure of ZrBeGeOs.

a = 4.426 Å, b = 4.426 Å, c = 4.426 Å
α = 60.00°, β = 60.00°, γ = 60.00°
Fractional positions:
Be1 0.750 0.750 0.750
Ge1 0.000 0.000 0.000
Os1 0.500 0.500 0.500
Zr1 0.250 0.250 0.250

Output
As for the space group: No. 216. The calculation puts the calculated volume at 15.33 Å³ per atom. The calculation puts the polymorph energy (0 for the lowest one) at 0.190 eV per atom. The spin magnetization is 0.00 μB/f.u.